Below is an optimized crystal structure of Ac2RuF, with properties calculated at the PBE level.

Output
- SG: P4/mmm, No. 123
- Crystal system: tetragonal
- E_form (uncorrected): -1087 meV/atom
- Energy relative to the lowest polymorph listed for this composition: 0.2120 eV per atom
- Density of states at the Fermi level: 0.625 states/eV/atom

Cell: 3.566 3.566 7.768 Å, 90.00 90.00 90.00°
Fractional positions:
Ac (0.000, 0.000, 0.237)
Ac (0.000, 0.000, 0.763)
Ru (0.500, 0.500, 0.000)
F (0.500, 0.500, 0.500)

=====

Below is an optimized crystal structure of Ac2RuF, with properties calculated at the PBE level.

Output
- SG: R3m, No. 160
- Crystal system: trigonal
- E_form (uncorrected): -1262 meV/atom
- Energy relative to the lowest polymorph listed for this composition: 0.0365 eV per atom
- Density of states at the Fermi level: 0.720 states/eV/atom

Cell: 4.211 4.211 24.049 Å, 90.00 90.00 120.00°
Fractional positions:
Ac (0.000, 0.000, 0.000)
Ac (0.000, 0.000, 0.194)
Ac (0.333, 0.667, 0.667)
Ac (0.333, 0.667, 0.860)
Ac (0.667, 0.333, 0.333)
Ac (0.667, 0.333, 0.527)
Ru (0.000, 0.000, 0.590)
Ru (0.333, 0.667, 0.256)
Ru (0.667, 0.333, 0.923)
F (0.000, 0.000, 0.380)
F (0.333, 0.667, 0.047)
F (0.667, 0.333, 0.713)

=====

Below is an optimized crystal structure of Ac2S2F, with properties calculated at the PBE level.

Output
- SG: Cmc2_1, No. 36
- Crystal system: orthorhombic
- E_form (uncorrected): -2568 meV/atom
- Density of states at the Fermi level: 0.419 states/eV/atom

Cell: 8.838 8.838 6.998 Å, 90.00 90.00 152.45°
Fractional positions:
Ac (0.068, 0.932, 0.500)
Ac (0.322, 0.678, 0.487)
Ac (0.678, 0.322, 0.987)
Ac (0.932, 0.068, 0.000)
S (0.302, 0.698, 0.041)
S (0.472, 0.528, 0.705)
S (0.528, 0.472, 0.205)
S (0.698, 0.302, 0.541)
F (0.108, 0.892, 0.862)
F (0.892, 0.108, 0.362)

=====

Below is an optimized crystal structure of Ac4S3F7, with properties calculated at the PBE level.

Output
- SG: C2/m, No. 12
- Crystal system: monoclinic
- E_form (uncorrected): -3349 meV/atom
- Density of states at the Fermi level: 0.322 states/eV/atom

Cell: 8.365 8.365 10.131 Å, 127.25 127.25 29.57°
Fractional positions:
Ac (0.100, 0.100, 0.303)
Ac (0.336, 0.336, 0.232)
Ac (0.664, 0.664, 0.768)
Ac (0.900, 0.900, 0.697)
S (0.000, 0.000, 0.500)
S (0.305, 0.305, 0.789)
S (0.695, 0.695, 0.211)
F (0.000, 0.000, 0.000)
F (0.173, 0.173, 0.921)
F (0.311, 0.311, 0.484)
F (0.489, 0.489, 0.226)
F (0.511, 0.511, 0.774)
F (0.689, 0.689, 0.516)
F (0.827, 0.827, 0.079)

=====

Below is an optimized crystal structure of Ac4S3F8, with properties calculated at the PBE level.

Output
- SG: Fm-3m, No. 225
- Crystal system: cubic
- E_form (uncorrected): -3233 meV/atom
- Density of states at the Fermi level: 0.482 states/eV/atom

Cell: 9.031 9.031 9.031 Å, 60.00 60.00 60.00°
Fractional positions:
Ac (0.000, 0.000, 0.000)
Ac (0.000, 0.000, 0.500)
Ac (0.000, 0.500, 0.000)
Ac (0.000, 0.500, 0.500)
Ac (0.500, 0.000, 0.000)
Ac (0.500, 0.000, 0.500)
Ac (0.500, 0.500, 0.000)
Ac (0.500, 0.500, 0.500)
S (0.217, 0.217, 0.783)
S (0.217, 0.783, 0.217)
S (0.217, 0.783, 0.783)
S (0.783, 0.217, 0.217)
S (0.783, 0.217, 0.783)
S (0.783, 0.783, 0.217)
F (0.149, 0.617, 0.617)
F (0.169, 0.169, 0.169)
F (0.169, 0.169, 0.494)
F (0.169, 0.494, 0.169)
F (0.383, 0.383, 0.383)
F (0.383, 0.383, 0.851)
F (0.383, 0.851, 0.383)
F (0.494, 0.169, 0.169)
F (0.506, 0.831, 0.831)
F (0.617, 0.149, 0.617)
F (0.617, 0.617, 0.149)
F (0.617, 0.617, 0.617)
F (0.831, 0.506, 0.831)
F (0.831, 0.831, 0.506)
F (0.831, 0.831, 0.831)
F (0.851, 0.383, 0.383)

=====

Below is an optimized crystal structure of Ac3S3F2, with properties calculated at the PBE level.

Output
- SG: Immm, No. 71
- Crystal system: orthorhombic
- E_form (uncorrected): -2672 meV/atom
- Density of states at the Fermi level: 0.206 states/eV/atom

Cell: 3.972 4.308 21.755 Å, 90.00 90.00 90.00°
Fractional positions:
Ac (0.000, 0.000, 0.000)
Ac (0.000, 0.500, 0.171)
Ac (0.000, 0.500, 0.829)
Ac (0.500, 0.000, 0.329)
Ac (0.500, 0.000, 0.671)
Ac (0.500, 0.500, 0.500)
S (0.000, 0.000, 0.500)
S (0.000, 0.500, 0.373)
S (0.000, 0.500, 0.627)
S (0.500, 0.000, 0.127)
S (0.500, 0.000, 0.873)
S (0.500, 0.500, 0.000)
F (0.000, 0.000, 0.250)
F (0.000, 0.000, 0.750)
F (0.500, 0.500, 0.250)
F (0.500, 0.500, 0.750)

=====

Record order is preserved below.
Mass density: 9.65, 7.74, 7.06, 6.92, 7.37, 7.27 g/cm³
Record order is preserved below.
Magnetization: 0.028, 0.000, 0.137, 0.072, 0.143, 0.000 μB per atom